Entry 1:
This record from Alexandria via LeMat-Bulk describes an optimized crystal structure of K2TlPb. The functional is GGA-PBE. Values from VASP.

Values from the calculation:
N(E_F): 0.7537 states/eV/atom
Calculated formation energy: 0.0839 eV per atom
Total DFT energy (no corrections): -1.984 eV per atom

```
&SYSTEM
  ibrav = 0, nat = 8, ntyp = 3
/
ATOMIC_SPECIES
Pb 207.20 Pb.upf
K 39.10 K.upf
Tl 204.38 Tl.upf
CELL_PARAMETERS angstrom
-3.128 -8.951 2.948
4.915 1.101 8.557
-1.787 -2.540 7.114
ATOMIC_POSITIONS angstrom
Pb 0.000 0.000 0.000
Pb -2.011 -7.708 7.908
K 0.215 -8.776 15.389
K -1.782 -6.077 4.686
K 2.229 -1.081 7.500
K -0.662 -4.847 9.665
Tl 2.011 -2.682 10.712
Tl 0.893 -3.925 5.753
```

Entry 2:
This record from Alexandria via LeMat-Bulk describes an optimized crystal structure of K3Tl3Pb2. The functional is GGA-PBE. Values from VASP.

Values from the calculation:
N(E_F): 0.5328 states/eV/atom
Calculated formation energy: -0.1299 eV per atom
Total DFT energy (no corrections): -2.356 eV per atom

```
&SYSTEM
  ibrav = 0, nat = 16, ntyp = 3
/
ATOMIC_SPECIES
Pb 207.20 Pb.upf
Tl 204.38 Tl.upf
K 39.10 K.upf
CELL_PARAMETERS angstrom
5.317 0.000 0.000
-2.659 6.412 0.000
0.000 0.000 17.761
ATOMIC_POSITIONS angstrom
Pb 0.000 2.659 7.016
Pb 2.659 3.753 15.897
Pb 2.659 3.753 10.745
Pb 0.000 2.659 1.865
Tl 0.000 4.830 17.230
Tl 0.000 4.830 9.412
Tl 2.659 1.582 0.531
Tl 2.659 2.012 13.321
Tl 2.659 1.582 8.350
Tl 0.000 4.400 4.440
K 2.659 5.360 6.970
K 2.659 5.360 1.911
K 2.659 1.642 4.440
K 0.000 1.052 10.792
K 0.000 1.052 15.850
K 0.000 4.769 13.321
```

Entry 3:
This record from Alexandria via LeMat-Bulk describes an optimized crystal structure of K2TlPb. The functional is GGA-PBE. Values from VASP.

Values from the calculation:
N(E_F): 0.6011 states/eV/atom
Calculated formation energy: -0.0057 eV per atom
Total DFT energy (no corrections): -2.073 eV per atom

```
&SYSTEM
  ibrav = 0, nat = 4, ntyp = 3
/
ATOMIC_SPECIES
K 39.10 K.upf
Tl 204.38 Tl.upf
Pb 207.20 Pb.upf
CELL_PARAMETERS angstrom
-6.003 5.171 -0.883
-1.367 -5.790 2.699
-1.445 1.815 3.099
ATOMIC_POSITIONS angstrom
K -3.724 3.493 1.108
K 0.000 0.000 0.000
Tl -3.685 -0.310 0.908
Pb -1.406 -1.987 2.899
```

Entry 4:
This record from Alexandria via LeMat-Bulk describes an optimized crystal structure of K2Tl10Pb. The functional is GGA-PBE. Values from VASP.

Values from the calculation:
N(E_F): 0.6244 states/eV/atom
Calculated formation energy: 0.0471 eV per atom
Total DFT energy (no corrections): -2.227 eV per atom

```
&SYSTEM
  ibrav = 0, nat = 26, ntyp = 3
/
ATOMIC_SPECIES
Tl 204.38 Tl.upf
K 39.10 K.upf
Pb 207.20 Pb.upf
CELL_PARAMETERS angstrom
-3.964 4.848 2.972
-10.153 -3.793 -7.355
-3.158 -7.687 8.325
ATOMIC_POSITIONS angstrom
Tl -14.008 -6.525 3.797
Tl -11.949 -9.229 -0.885
Tl -12.166 -8.777 2.415
Tl -9.359 -4.475 -0.858
Tl -6.326 -3.875 -2.118
Tl -4.082 -3.622 0.463
Tl -7.952 3.122 0.468
Tl -6.985 -7.606 3.088
Tl -4.610 -7.073 5.387
Tl -3.268 -0.109 0.145
Tl -9.324 -9.756 3.474
Tl -6.074 -4.411 3.418
Tl -12.666 0.440 -1.445
Tl -1.362 -2.251 1.855
Tl -13.194 -3.011 3.479
Tl -6.861 0.276 6.564
Tl -5.110 2.144 1.527
Tl -10.414 -6.909 -2.622
Tl -11.201 -2.222 0.524
Tl -7.917 -2.158 4.800
K -12.835 -5.719 0.291
K -8.747 -0.938 -2.054
K -8.528 -5.695 5.996
K -4.440 -0.914 3.651
Pb -6.656 -5.740 0.485
Pb 0.000 0.000 0.000
```

Entry 5:
This record from Alexandria via LeMat-Bulk describes an optimized crystal structure of K2Tl3Pb2. The functional is GGA-PBE. Values from VASP.

Values from the calculation:
N(E_F): 0.4682 states/eV/atom
Calculated formation energy: -0.0912 eV per atom
Total DFT energy (no corrections): -2.478 eV per atom

```
&SYSTEM
  ibrav = 0, nat = 7, ntyp = 3
/
ATOMIC_SPECIES
Tl 204.38 Tl.upf
K 39.10 K.upf
Pb 207.20 Pb.upf
CELL_PARAMETERS angstrom
5.184 0.000 0.000
-2.592 6.441 -0.150
0.000 -3.155 7.662
ATOMIC_POSITIONS angstrom
Tl 2.592 0.039 3.375
Tl 0.000 3.247 4.137
Tl 2.592 0.000 0.000
K 2.592 3.812 1.671
K 0.000 -0.526 5.841
Pb 0.000 1.104 1.679
Pb 2.592 2.182 5.833
```

Entry 6:
This record from Alexandria via LeMat-Bulk describes an optimized crystal structure of KTlPb. The functional is GGA-PBE. Values from VASP.

Values from the calculation:
N(E_F): 0.2877 states/eV/atom
Calculated formation energy: -0.1347 eV per atom
Total DFT energy (no corrections): -2.525 eV per atom

```
&SYSTEM
  ibrav = 0, nat = 6, ntyp = 3
/
ATOMIC_SPECIES
K 39.10 K.upf
Tl 204.38 Tl.upf
Pb 207.20 Pb.upf
CELL_PARAMETERS angstrom
-4.504 2.017 -1.280
-1.791 -4.660 -1.039
-2.670 -0.790 8.149
ATOMIC_POSITIONS angstrom
K -1.348 -2.464 0.863
K -4.470 0.352 6.127
Tl -4.483 -1.716 2.915
Tl -1.335 -0.395 4.075
Pb -2.979 0.793 1.577
Pb -2.839 -2.905 5.412
```

Entry 7:
This record from Alexandria via LeMat-Bulk describes an optimized crystal structure of KTlPb2. The functional is GGA-PBE. Values from VASP.

Values from the calculation:
N(E_F): 0.2839 states/eV/atom
Calculated formation energy: -0.0941 eV per atom
Total DFT energy (no corrections): -2.814 eV per atom

```
&SYSTEM
  ibrav = 0, nat = 4, ntyp = 3
/
ATOMIC_SPECIES
Pb 207.20 Pb.upf
K 39.10 K.upf
Tl 204.38 Tl.upf
CELL_PARAMETERS angstrom
-5.411 -1.598 1.013
1.785 -3.780 3.922
1.514 5.515 0.392
ATOMIC_POSITIONS angstrom
Pb 0.743 -0.477 3.391
Pb 0.000 0.000 0.000
K -2.855 0.614 1.936
Tl -1.813 -2.689 2.468
```

Entry 8:
This record from Alexandria via LeMat-Bulk describes an optimized crystal structure of KTl5Pb. The functional is GGA-PBE. Values from VASP.

Values from the calculation:
N(E_F): 0.4828 states/eV/atom
Calculated formation energy: 0.0029 eV per atom
Total DFT energy (no corrections): -2.374 eV per atom

```
&SYSTEM
  ibrav = 0, nat = 7, ntyp = 3
/
ATOMIC_SPECIES
Pb 207.20 Pb.upf
Tl 204.38 Tl.upf
K 39.10 K.upf
CELL_PARAMETERS angstrom
-2.136 3.717 -4.207
-0.547 -5.812 -1.413
-6.782 -0.163 3.302
ATOMIC_POSITIONS angstrom
Pb -4.733 -1.129 -1.159
Tl -3.391 -0.081 1.651
Tl -6.043 1.739 0.318
Tl -3.422 -3.997 -2.637
Tl -4.217 0.767 -4.034
Tl -5.249 -3.025 1.715
K 0.000 0.000 0.000
```

Entry 9:
This record from Alexandria via LeMat-Bulk describes an optimized crystal structure of KTl2Pb. The functional is GGA-PBE. Values from VASP.

Values from the calculation:
N(E_F): 0.5309 states/eV/atom
Calculated formation energy: -0.0053 eV per atom
Total DFT energy (no corrections): -2.390 eV per atom

```
&SYSTEM
  ibrav = 0, nat = 4, ntyp = 3
/
ATOMIC_SPECIES
Pb 207.20 Pb.upf
Tl 204.38 Tl.upf
K 39.10 K.upf
CELL_PARAMETERS angstrom
11.348 -0.011 -0.006
10.726 3.703 -0.006
10.726 1.794 3.240
ATOMIC_POSITIONS angstrom
Pb 24.601 4.115 2.420
Tl 0.171 0.029 0.017
Tl 16.230 2.715 1.597
K 8.200 1.372 0.807
```

Entry 10:
This record from Alexandria via LeMat-Bulk describes an optimized crystal structure of KTlPb2. The functional is GGA-PBE. Values from VASP.

Values from the calculation:
N(E_F): 0.3365 states/eV/atom
Calculated formation energy: -0.0586 eV per atom
Total DFT energy (no corrections): -2.779 eV per atom

```
&SYSTEM
  ibrav = 0, nat = 4, ntyp = 3
/
ATOMIC_SPECIES
Pb 207.20 Pb.upf
K 39.10 K.upf
Tl 204.38 Tl.upf
CELL_PARAMETERS angstrom
-2.425 0.823 -5.350
-5.076 -0.017 -3.068
-1.443 6.764 0.816
ATOMIC_POSITIONS angstrom
Pb -1.372 6.385 0.758
Pb -4.542 4.165 -3.743
K -2.236 1.893 -1.900
Tl -6.707 5.678 -5.701
```

Entry 11:
This record from Alexandria via LeMat-Bulk describes an optimized crystal structure of KTl2Pb. The functional is GGA-PBE. Values from VASP.

Values from the calculation:
N(E_F): 0.3595 states/eV/atom
Calculated formation energy: -0.1031 eV per atom
Total DFT energy (no corrections): -2.488 eV per atom

```
&SYSTEM
  ibrav = 0, nat = 4, ntyp = 3
/
ATOMIC_SPECIES
Tl 204.38 Tl.upf
K 39.10 K.upf
Pb 207.20 Pb.upf
CELL_PARAMETERS angstrom
4.407 0.000 0.000
0.000 3.762 0.418
0.000 2.875 8.490
ATOMIC_POSITIONS angstrom
Tl 0.000 3.288 4.756
Tl 0.000 2.906 8.188
K 2.203 1.659 2.227
Pb 2.203 4.977 6.681
```

Entry 12:
This record from Alexandria via LeMat-Bulk describes an optimized crystal structure of KTl3Pb2. The functional is GGA-PBE. Values from VASP.

Values from the calculation:
N(E_F): 0.4531 states/eV/atom
Calculated formation energy: -0.0221 eV per atom
Total DFT energy (no corrections): -2.624 eV per atom

```
&SYSTEM
  ibrav = 0, nat = 12, ntyp = 3
/
ATOMIC_SPECIES
Tl 204.38 Tl.upf
Pb 207.20 Pb.upf
K 39.10 K.upf
CELL_PARAMETERS angstrom
6.836 0.000 0.000
0.000 7.859 1.024
0.000 -1.628 7.756
ATOMIC_POSITIONS angstrom
Tl 1.709 3.156 7.535
Tl 5.127 0.160 3.314
Tl 5.127 6.204 8.741
Tl 5.127 3.076 1.244
Tl 1.709 0.028 0.039
Tl 1.709 6.072 5.466
Pb 3.418 5.549 2.663
Pb 3.418 0.682 6.117
Pb 0.000 0.682 6.117
Pb 0.000 5.549 2.663
K 1.709 2.072 2.919
K 5.127 4.160 5.861
```

Entry 13:
This record from Alexandria via LeMat-Bulk describes an optimized crystal structure of K2TlPb. The functional is GGA-PBE. Values from VASP.

Values from the calculation:
N(E_F): 0.5377 states/eV/atom
Calculated formation energy: -0.0823 eV per atom
Total DFT energy (no corrections): -2.150 eV per atom

```
&SYSTEM
  ibrav = 0, nat = 4, ntyp = 3
/
ATOMIC_SPECIES
Tl 204.38 Tl.upf
Pb 207.20 Pb.upf
K 39.10 K.upf
CELL_PARAMETERS angstrom
-3.276 0.541 -2.286
-2.287 0.160 3.315
1.392 10.366 0.461
ATOMIC_POSITIONS angstrom
Tl -1.790 7.736 0.843
Pb 0.757 5.635 0.251
K 1.295 9.643 0.429
K -2.345 3.603 0.659
```

Entry 14:
This record from Alexandria via LeMat-Bulk describes an optimized crystal structure of K3Tl2Pb7. The functional is GGA-PBE. Values from VASP.

Values from the calculation:
N(E_F): 0.6274 states/eV/atom
Calculated formation energy: -0.1110 eV per atom
Total DFT energy (no corrections): -2.943 eV per atom

```
&SYSTEM
  ibrav = 0, nat = 12, ntyp = 3
/
ATOMIC_SPECIES
Pb 207.20 Pb.upf
K 39.10 K.upf
Tl 204.38 Tl.upf
CELL_PARAMETERS angstrom
-3.414 3.011 -5.178
1.178 -1.957 -6.505
-8.311 -6.854 -3.096
ATOMIC_POSITIONS angstrom
Pb -8.132 -3.525 -5.868
Pb -5.805 -6.042 -6.540
Pb -2.415 -2.276 -8.911
Pb -7.535 -4.517 -9.164
Pb -3.012 -1.284 -5.615
Pb -4.742 0.242 -8.239
Pb -5.273 -2.900 -7.390
K -5.431 -1.989 -11.346
K -5.116 -3.811 -3.433
K 0.000 0.000 0.000
Tl -1.561 0.635 -7.781
Tl -8.986 -6.435 -6.998
```

Entry 15:
This record from Alexandria via LeMat-Bulk describes an optimized crystal structure of K3Tl5Pb2. The functional is GGA-PBE. Values from VASP.

Values from the calculation:
N(E_F): 0.5190 states/eV/atom
Calculated formation energy: -0.0853 eV per atom
Total DFT energy (no corrections): -2.339 eV per atom

```
&SYSTEM
  ibrav = 0, nat = 20, ntyp = 3
/
ATOMIC_SPECIES
Tl 204.38 Tl.upf
K 39.10 K.upf
Pb 207.20 Pb.upf
CELL_PARAMETERS angstrom
-3.154 2.652 2.756
-9.357 -5.470 -5.446
0.128 -8.666 8.486
ATOMIC_POSITIONS angstrom
Tl -2.221 -6.017 7.708
Tl -3.466 -0.475 0.949
Tl -6.911 -7.937 4.187
Tl -8.918 -11.010 4.848
Tl -1.513 -3.007 5.621
Tl -10.163 -5.467 -1.912
Tl -4.282 -5.322 4.679
Tl -8.101 -6.162 1.117
Tl -5.472 -3.547 1.609
Tl -6.256 -1.409 -1.345
K -6.183 -5.039 -2.227
K -7.748 -10.324 1.068
K -4.615 -7.068 1.520
K -3.047 -9.097 5.268
K 0.000 0.000 0.000
K -1.482 -3.812 1.972
Pb -3.403 -3.165 -0.849
Pb -5.827 -10.971 3.889
Pb -8.052 -7.902 -1.611
Pb -1.178 -6.234 4.652
```

Entry 16:
This record from Alexandria via LeMat-Bulk describes an optimized crystal structure of KTl2Pb4. The functional is GGA-PBE. Values from VASP.

Values from the calculation:
N(E_F): 0.5629 states/eV/atom
Calculated formation energy: -0.0112 eV per atom
Total DFT energy (no corrections): -2.963 eV per atom

```
&SYSTEM
  ibrav = 0, nat = 7, ntyp = 3
/
ATOMIC_SPECIES
Pb 207.20 Pb.upf
K 39.10 K.upf
Tl 204.38 Tl.upf
CELL_PARAMETERS angstrom
-4.953 -1.824 0.867
0.385 -3.070 -4.259
3.116 -5.049 7.176
ATOMIC_POSITIONS angstrom
Pb 1.450 -4.037 -0.212
Pb 2.051 -4.082 3.129
Pb -0.241 -6.513 1.420
Pb -1.211 -3.431 2.364
K 0.000 0.000 0.000
Tl 0.268 -6.375 4.620
Tl -1.720 -3.569 -0.836
```

Entry 17:
This record from Alexandria via LeMat-Bulk describes an optimized crystal structure of K2TlPb. The functional is GGA-PBE. Values from VASP.

Values from the calculation:
N(E_F): 0.4548 states/eV/atom
Calculated formation energy: -0.1225 eV per atom
Total DFT energy (no corrections): -2.190 eV per atom

```
&SYSTEM
  ibrav = 0, nat = 4, ntyp = 3
/
ATOMIC_SPECIES
K 39.10 K.upf
Tl 204.38 Tl.upf
Pb 207.20 Pb.upf
CELL_PARAMETERS angstrom
-0.468 -0.771 -7.175
2.384 -3.179 -6.042
-3.466 -4.934 -1.763
ATOMIC_POSITIONS angstrom
K -1.012 -6.607 -11.495
K 1.753 -4.008 -12.931
Tl -0.497 -2.190 -3.405
Pb -0.654 -4.471 -7.857
```

Entry 18:
This record from Alexandria via LeMat-Bulk describes an optimized crystal structure of KTlPb. The functional is GGA-PBE. Values from VASP.

Values from the calculation:
N(E_F): 0.2559 states/eV/atom
Calculated formation energy: -0.0300 eV per atom
Total DFT energy (no corrections): -2.421 eV per atom

```
&SYSTEM
  ibrav = 0, nat = 3, ntyp = 3
/
ATOMIC_SPECIES
K 39.10 K.upf
Tl 204.38 Tl.upf
Pb 207.20 Pb.upf
CELL_PARAMETERS angstrom
0.000 3.826 3.826
3.826 0.000 3.826
3.826 3.826 0.000
ATOMIC_POSITIONS angstrom
K 1.913 1.913 1.913
Tl 0.000 0.000 0.000
Pb 5.739 5.739 5.739
```

Entry 19:
This record from Alexandria via LeMat-Bulk describes an optimized crystal structure of KTl2Pb. The functional is GGA-PBE. Values from VASP.

Values from the calculation:
N(E_F): 0.5044 states/eV/atom
Calculated formation energy: -0.0626 eV per atom
Total DFT energy (no corrections): -2.447 eV per atom

```
&SYSTEM
  ibrav = 0, nat = 4, ntyp = 3
/
ATOMIC_SPECIES
Pb 207.20 Pb.upf
Tl 204.38 Tl.upf
K 39.10 K.upf
CELL_PARAMETERS angstrom
-1.456 -2.192 2.765
3.630 -2.536 -0.098
3.447 4.718 5.555
ATOMIC_POSITIONS angstrom
Pb 3.842 1.408 5.774
Tl 3.434 4.700 5.534
Tl 1.797 -1.391 2.479
K 1.717 2.350 2.767
```

Entry 20:
This record from Alexandria via LeMat-Bulk describes an optimized crystal structure of KTlPb2. The functional is GGA-PBE. Values from VASP.

Values from the calculation:
N(E_F): 0.8895 states/eV/atom
Calculated formation energy: -0.0343 eV per atom
Total DFT energy (no corrections): -2.754 eV per atom

```
&SYSTEM
  ibrav = 0, nat = 4, ntyp = 3
/
ATOMIC_SPECIES
Pb 207.20 Pb.upf
K 39.10 K.upf
Tl 204.38 Tl.upf
CELL_PARAMETERS angstrom
-4.605 1.490 1.877
-1.572 -4.747 -0.087
1.692 -0.646 4.662
ATOMIC_POSITIONS angstrom
Pb 0.060 -2.696 2.287
Pb 0.000 0.000 0.000
K -1.457 0.422 3.270
Tl -3.088 -1.628 0.895
```